[1]
First-principles (PBEsol) data for a geometry-optimized Ba2BSe structure, as listed in Alexandria.

Geometry as extended XYZ:
```
4
Lattice="0.000 3.862 3.862 3.862 0.000 3.862 3.862 3.862 0.000" Properties=species:S:1:pos:R:3 pbc="T T T"
Ba 1.931 1.931 1.931
Ba 5.793 5.793 5.793
B 0.000 0.000 0.000
Se 3.862 3.862 3.862
```

Properties
The value obtained for the formation energy without anion corrections is -20 kJ per mole of atoms. As for the space group: Fm-3m. For the density of states at the Fermi level, the calculation gives 0.536 states/eV per atom. Its crystal system is cubic. The calculated volume is 115.2 Å³/cell.

[2]
First-principles (PBEsol) data for a geometry-optimized BaB3Se structure, as listed in Alexandria.

Geometry as extended XYZ:
```
5
Lattice="4.383 0.000 0.000 0.000 4.383 0.000 0.000 0.000 4.383" Properties=species:S:1:pos:R:3 pbc="T T T"
Ba 0.000 0.000 0.000
B 0.000 2.191 2.191
B 2.191 0.000 2.191
B 2.191 2.191 0.000
Se 2.191 2.191 2.191
```

Properties
The value obtained for the formation energy without anion corrections is 142 kJ per mole of atoms. As for the space group: Pm-3m. For the density of states at the Fermi level, the calculation gives 0.401 states/eV per atom. Its crystal system is cubic. The calculated volume is 84.2 Å³/cell.

[3]
First-principles (PBEsol) data for a geometry-optimized BaSi3B structure, as listed in Alexandria.

Geometry as extended XYZ:
```
5
Lattice="4.524 0.000 0.000 0.000 4.524 0.000 0.000 0.000 4.524" Properties=species:S:1:pos:R:3 pbc="T T T"
Ba 0.000 0.000 0.000
Si 0.000 2.262 2.262
Si 2.262 0.000 2.262
Si 2.262 2.262 0.000
B 2.262 2.262 2.262
```

Properties
The value obtained for the formation energy without anion corrections is 48 kJ per mole of atoms. As for the space group: Pm-3m. For the density of states at the Fermi level, the calculation gives 0.427 states/eV per atom. Its crystal system is cubic. The calculated volume is 92.6 Å³/cell.

[4]
First-principles (PBEsol) data for a geometry-optimized Ba3SmB24 structure, as listed in Alexandria.

Geometry as extended XYZ:
```
28
Lattice="4.208 0.000 0.000 0.000 4.208 0.000 0.000 0.000 16.857" Properties=species:S:1:pos:R:3 pbc="T T T"
Ba 0.000 0.000 0.000
Ba 0.000 0.000 4.233
Ba 0.000 0.000 12.623
Sm 0.000 0.000 8.428
B 0.851 2.104 6.389
B 0.851 2.104 10.468
B 0.858 2.104 2.128
B 0.858 2.104 14.728
B 2.104 0.851 6.389
B 2.104 0.851 10.468
B 2.104 0.858 2.128
B 2.104 0.858 14.728
B 2.104 2.104 0.873
B 2.104 2.104 3.383
B 2.104 2.104 5.122
B 2.104 2.104 7.609
B 2.104 2.104 9.247
B 2.104 2.104 11.735
B 2.104 2.104 13.474
B 2.104 2.104 15.984
B 2.104 3.350 2.128
B 2.104 3.350 14.728
B 2.104 3.358 6.389
B 2.104 3.358 10.468
B 3.350 2.104 2.128
B 3.350 2.104 14.728
B 3.358 2.104 6.389
B 3.358 2.104 10.468
```

Properties
As for the space group: P4/mmm. For the density of states at the Fermi level, the calculation gives 0.060 states/eV per atom. Its crystal system is tetragonal. The calculated volume is 298.5 Å³/cell. Its calculated total energy is -6.874 eV/atom.

[5]
First-principles (PBEsol) data for a geometry-optimized Ba3TaB structure, as listed in Alexandria.

Geometry as extended XYZ:
```
5
Lattice="5.723 0.000 0.000 0.000 5.723 0.000 0.000 0.000 5.723" Properties=species:S:1:pos:R:3 pbc="T T T"
Ba 0.000 0.000 2.862
Ba 0.000 2.862 0.000
Ba 2.862 0.000 0.000
Ta 2.862 2.862 2.862
B 0.000 0.000 0.000
```

Properties
As for the space group: Pm-3m. For the density of states at the Fermi level, the calculation gives 1.114 states/eV per atom. Its crystal system is cubic. The calculated volume is 187.5 Å³/cell. Its calculated total energy is -3.887 eV/atom.

[6]
First-principles (PBEsol) data for a geometry-optimized Ba2BTe structure, as listed in Alexandria.

Geometry as extended XYZ:
```
8
Lattice="-4.204 4.204 4.110 4.204 -4.204 4.110 4.204 4.204 -4.110" Properties=species:S:1:pos:R:3 pbc="T T T"
Ba 2.102 1.738 -1.028
Ba 2.466 -2.102 5.138
Ba 2.102 2.466 3.083
Ba 1.738 6.306 1.028
B 0.000 0.000 0.000
B 0.000 4.204 2.055
Te 4.204 0.000 2.055
Te 0.000 0.000 4.110
```

Properties
The value obtained for the formation energy without anion corrections is -2 kJ per mole of atoms. As for the space group: I-42d. For the density of states at the Fermi level, the calculation gives 0.653 states/eV per atom. Its crystal system is tetragonal. The calculated volume is 290.6 Å³/cell.